# Cs2LiBeBr6 (PBE-GGA, relaxed)
data_Cs2LiBeBr6
_space_group_name_H-M_alt 'I 4/m m m'
_space_group_IT_number 139
_space_group_name_Hall '-I 4 2'
_cell_length_a 7.5403
_cell_length_b 7.5403
_cell_length_c 10.7929
_cell_angle_alpha 90.00
_cell_angle_beta 90.00
_cell_angle_gamma 90.00
loop_
_atom_site_label
_atom_site_type_symbol
_atom_site_fract_x
_atom_site_fract_y
_atom_site_fract_z
Cs1 Cs 0.0000 0.5000 0.2500
Li1 Li 0.0000 0.0000 0.0000
Be1 Be 0.0000 0.0000 0.5000
Br1 Br 0.0000 0.0000 0.2842
Br2 Br 0.2430 0.2430 0.5000
# VASP energy = -58.0 eV per cell



# CsMnBe2Br8 (PBE-GGA, relaxed)
data_CsMnBe2Br8
_space_group_name_H-M_alt 'R -3'
_space_group_IT_number 148
_space_group_name_Hall '-R 3'
_cell_length_a 6.4069
_cell_length_b 6.4069
_cell_length_c 32.0291
_cell_angle_alpha 90.00
_cell_angle_beta 90.00
_cell_angle_gamma 120.00
loop_
_atom_site_label
_atom_site_type_symbol
_atom_site_fract_x
_atom_site_fract_y
_atom_site_fract_z
Cs1 Cs 0.0000 0.0000 0.0000
Mn1 Mn 0.0000 0.0000 0.5000
Be1 Be 0.0000 0.0000 0.2351
Br1 Br 0.0000 0.0000 0.3021
Br2 Br 0.0036 0.6584 0.1189
# VASP energy = -127.8 eV per cell



# Cs2BeMoBr6 (PBE-GGA, relaxed)
data_Cs2BeMoBr6
_space_group_name_H-M_alt 'I 4/m m m'
_space_group_IT_number 139
_space_group_name_Hall '-I 4 2'
_cell_length_a 7.3935
_cell_length_b 7.3935
_cell_length_c 11.6639
_cell_angle_alpha 90.00
_cell_angle_beta 90.00
_cell_angle_gamma 90.00
loop_
_atom_site_label
_atom_site_type_symbol
_atom_site_fract_x
_atom_site_fract_y
_atom_site_fract_z
Cs1 Cs 0.0000 0.5000 0.2500
Be1 Be 0.0000 0.0000 0.0000
Mo1 Mo 0.0000 0.0000 0.5000
Br1 Br 0.0000 0.0000 0.2755
Br2 Br 0.2283 0.2283 0.0000
# VASP energy = -70.2 eV per cell



# CsNaBe2Br6 (PBE-GGA, relaxed)
data_CsNaBe2Br6
_space_group_name_H-M_alt 'C 1 2/c 1'
_space_group_IT_number 15
_cell_length_a 11.2399
_cell_length_b 16.9219
_cell_length_c 8.9521
_cell_angle_alpha 90.00
_cell_angle_beta 113.48
_cell_angle_gamma 90.00
loop_
_space_group_symop_operation_xyz
'x,y,z'
'-x,-y,-z'
'-x,y,-z+1/2'
'x,-y,z+1/2'
'x+1/2,y+1/2,z'
'-x+1/2,-y+1/2,-z'
'-x+1/2,y+1/2,-z+1/2'
'x+1/2,-y+1/2,z+1/2'
loop_
_atom_site_label
_atom_site_type_symbol
_atom_site_fract_x
_atom_site_fract_y
_atom_site_fract_z
Cs1 Cs 0.0000 0.1623 0.2500
Na1 Na 0.0000 0.4755 0.7500
Be1 Be 0.2164 0.3868 0.2340
Br1 Br 0.0289 0.3844 0.0458
Br2 Br 0.1844 0.2180 0.6950
Br3 Br 0.2142 0.0065 0.6436
# VASP energy = -129.2 eV per cell



# CsNaBeBr4 (PBE-GGA, relaxed)
data_CsNaBeBr4
_space_group_name_H-M_alt 'P 1 21/m 1'
_space_group_IT_number 11
_cell_length_a 6.8300
_cell_length_b 7.5074
_cell_length_c 9.6711
_cell_angle_alpha 90.00
_cell_angle_beta 109.53
_cell_angle_gamma 90.00
loop_
_space_group_symop_operation_xyz
'x,y,z'
'-x,-y,-z'
'-x,y+1/2,-z'
'x,-y+1/2,z'
loop_
_atom_site_label
_atom_site_type_symbol
_atom_site_fract_x
_atom_site_fract_y
_atom_site_fract_z
Cs1 Cs 0.2264 0.2500 0.4257
Na1 Na 0.2805 0.2500 0.9531
Be1 Be 0.3003 0.7500 0.1800
Br1 Br 0.0857 0.7500 0.9557
Br2 Br 0.1301 0.7500 0.3390
Br3 Br 0.4944 0.0136 0.7839
# VASP energy = -45.1 eV per cell



# Cs2BeBr6O (PBE-GGA, relaxed)
data_Cs2BeBr6O
_space_group_name_H-M_alt 'I 4/m m m'
_space_group_IT_number 139
_space_group_name_Hall '-I 4 2'
_cell_length_a 8.2460
_cell_length_b 8.2460
_cell_length_c 10.2562
_cell_angle_alpha 90.00
_cell_angle_beta 90.00
_cell_angle_gamma 90.00
loop_
_atom_site_label
_atom_site_type_symbol
_atom_site_fract_x
_atom_site_fract_y
_atom_site_fract_z
Cs1 Cs 0.0000 0.5000 0.2500
Be1 Be 0.0000 0.0000 0.0000
Br1 Br 0.0000 0.0000 0.2972
Br2 Br 0.1978 0.1978 0.0000
O1 O 0.0000 0.0000 0.5000
# VASP energy = -55.1 eV per cell



# CsBe2PBr (PBE-GGA, relaxed)
data_CsBe2PBr
_space_group_name_H-M_alt 'P 4/m m m'
_space_group_IT_number 123
_space_group_name_Hall '-P 4 2'
_cell_length_a 5.0520
_cell_length_b 5.0520
_cell_length_c 5.4608
_cell_angle_alpha 90.00
_cell_angle_beta 90.00
_cell_angle_gamma 90.00
loop_
_atom_site_label
_atom_site_type_symbol
_atom_site_fract_x
_atom_site_fract_y
_atom_site_fract_z
Cs1 Cs 0.0000 0.0000 0.0000
Be1 Be 0.0000 0.5000 0.5000
P1 P 0.5000 0.5000 0.0000
Br1 Br 0.5000 0.5000 0.5000
# VASP energy = -9.1 eV per cell



# Cs2BePtBr6 (PBE-GGA, relaxed)
data_Cs2BePtBr6
_space_group_name_H-M_alt 'I 4/m m m'
_space_group_IT_number 139
_space_group_name_Hall '-I 4 2'
_cell_length_a 7.3324
_cell_length_b 7.3324
_cell_length_c 11.6560
_cell_angle_alpha 90.00
_cell_angle_beta 90.00
_cell_angle_gamma 90.00
loop_
_atom_site_label
_atom_site_type_symbol
_atom_site_fract_x
_atom_site_fract_y
_atom_site_fract_z
Cs1 Cs 0.0000 0.5000 0.2500
Be1 Be 0.0000 0.0000 0.0000
Pt1 Pt 0.0000 0.0000 0.5000
Br1 Br 0.0000 0.0000 0.2870
Br2 Br 0.2275 0.2275 0.0000
# VASP energy = -60.5 eV per cell



# CsRbBeBr4 (PBE-GGA, relaxed)
data_CsRbBeBr4
_space_group_name_H-M_alt 'P 1 21/m 1'
_space_group_IT_number 11
_cell_length_a 7.1657
_cell_length_b 7.4520
_cell_length_c 10.3220
_cell_angle_alpha 90.00
_cell_angle_beta 109.56
_cell_angle_gamma 90.00
loop_
_space_group_symop_operation_xyz
'x,y,z'
'-x,-y,-z'
'-x,y+1/2,-z'
'x,-y+1/2,z'
loop_
_atom_site_label
_atom_site_type_symbol
_atom_site_fract_x
_atom_site_fract_y
_atom_site_fract_z
Cs1 Cs 0.1733 0.2500 0.4050
Rb1 Rb 0.2945 0.2500 0.9684
Be1 Be 0.3232 0.7500 0.2164
Br1 Br 0.1104 0.7500 0.3287
Br2 Br 0.1739 0.7500 0.9898
Br3 Br 0.4823 0.0119 0.7278
# VASP energy = -45.6 eV per cell



# Cs2BeReBr6 (PBE-GGA, relaxed)
data_Cs2BeReBr6
_space_group_name_H-M_alt 'I 4/m m m'
_space_group_IT_number 139
_space_group_name_Hall '-I 4 2'
_cell_length_a 7.6839
_cell_length_b 7.6839
_cell_length_c 11.4690
_cell_angle_alpha 90.00
_cell_angle_beta 90.00
_cell_angle_gamma 90.00
loop_
_atom_site_label
_atom_site_type_symbol
_atom_site_fract_x
_atom_site_fract_y
_atom_site_fract_z
Cs1 Cs 0.0000 0.5000 0.2500
Be1 Be 0.0000 0.0000 0.0000
Re1 Re 0.0000 0.0000 0.5000
Br1 Br 0.0000 0.0000 0.2820
Br2 Br 0.2169 0.2169 0.0000
# VASP energy = -69.3 eV per cell



# Cs2BeRhBr6 (PBE-GGA, relaxed)
data_Cs2BeRhBr6
_space_group_name_H-M_alt 'I 4/m m m'
_space_group_IT_number 139
_space_group_name_Hall '-I 4 2'
_cell_length_a 7.1845
_cell_length_b 7.1845
_cell_length_c 11.6929
_cell_angle_alpha 90.00
_cell_angle_beta 90.00
_cell_angle_gamma 90.00
loop_
_atom_site_label
_atom_site_type_symbol
_atom_site_fract_x
_atom_site_fract_y
_atom_site_fract_z
Cs1 Cs 0.0000 0.5000 0.2500
Be1 Be 0.0000 0.0000 0.0000
Rh1 Rh 0.0000 0.0000 0.5000
Br1 Br 0.0000 0.0000 0.2847
Br2 Br 0.2337 0.2337 0.0000
# VASP energy = -63.4 eV per cell



# Cs2BeSBr6 (PBE-GGA, relaxed)
data_Cs2BeSBr6
_space_group_name_H-M_alt 'I 4/m m m'
_space_group_IT_number 139
_space_group_name_Hall '-I 4 2'
_cell_length_a 7.6225
_cell_length_b 7.6225
_cell_length_c 11.3418
_cell_angle_alpha 90.00
_cell_angle_beta 90.00
_cell_angle_gamma 90.00
loop_
_atom_site_label
_atom_site_type_symbol
_atom_site_fract_x
_atom_site_fract_y
_atom_site_fract_z
Cs1 Cs 0.0000 0.5000 0.2500
Be1 Be 0.0000 0.0000 0.0000
S1 S 0.0000 0.0000 0.5000
Br1 Br 0.0000 0.0000 0.2837
Br2 Br 0.2151 0.2151 0.0000
# VASP energy = -55.2 eV per cell



no.,raw formation energy (eV/atom)
1,-1.1635
2,-0.9776
3,-0.8803
4,-1.2648
5,-1.4236
6,-0.7099
7,1.2523
8,-0.8716
9,-1.5088
10,-0.6738
11,-0.8866
12,-0.8016